Below is a relaxed structure of CaNd2Gd, with properties calculated at the PBE level.

a = 5.231 Å, b = 5.231 Å, c = 5.169 Å
α = 90.00°, β = 90.00°, γ = 90.00°
Sites, in units of the cell vectors:
Ca 0.000 0.000 0.000
Nd 0.000 0.500 0.500
Nd 0.500 0.000 0.500
Gd 0.500 0.500 0.000

Summary:
The value obtained for the total DFT energy (no corrections) is -25.28 eV/cell. The space group is P4/mmm, No. 123. The value obtained for the energy of formation is 0.086 eV/atom.